This record from the Alexandria database describes crystalline CuTc2Cl at its relaxed geometry. The functional is PBE.

Summary:
- Symmetry: P4/mmm, No. 123
- Energy relative to the elements, uncorrected: 841 meV per atom
- Energy above the lowest structure with this stoichiometry: 2.664 eV/f.u.
- Total moment: 0.000 μB/cell

Cell: 4.377 4.377 2.877 Å, 90.00 90.00 90.00°
Sites, in units of the cell vectors:
Tc: 0.500 0.500 0.000
Cl: 0.500 0.000 0.500
Cu: 0.000 0.500 0.500
Tc: 0.000 0.000 0.000

This record from the Alexandria database describes crystalline CsCoNi3 at its relaxed geometry. The functional is PBE.

Summary:
- Symmetry: Pm-3m, No. 221
- Energy above the lowest structure with this stoichiometry: 0.000 eV/f.u.
- Total moment: 3.335 μB/cell
- Formation energy: 1.0177 eV per atom

Cell: 4.571 4.571 4.571 Å, 90.00 90.00 90.00°
Sites, in units of the cell vectors:
Co: 0.000 0.000 0.000
Ni: 0.000 0.500 0.000
Ni: 0.500 0.000 0.000
Ni: 0.000 0.000 0.500
Cs: 0.500 0.500 0.500